1.
The following is a PBE-GGA calculation of crystalline BaIrBr2 at its relaxed geometry, from Alexandria via LeMat-Bulk.

The value obtained for the formation energy from raw total energies is 0.133 eV per atom. The density is 6049 kg/m3.

The space group is R-3m (No. 166, hexagonal axes) and the conventional cell measures 4.1887, 4.1887 and 26.5218 Å, with angles of 90.00, 90.00 and 120.00 degrees. The asymmetric unit holds Ba at (0.0000, 0.0000, 0.0000), Ir at (0.0000, 0.0000, 0.5000) and Br at (0.0000, 0.0000, 0.1209).

---

2.
The following is a PBE-GGA calculation of crystalline ZrAl3I at its relaxed geometry, from Alexandria via LeMat-Bulk.

The value obtained for the formation energy from raw total energies is 0.888 eV per atom. The density is 2959 kg/m3.

The space group is Pm-3m (No. 221) and the conventional cell measures 5.516, 5.516 and 5.516 Å, with angles of 90.00, 90.00 and 90.00 degrees. The asymmetric unit holds Zr at (0.000, 0.000, 0.000), Al at (0.000, 0.000, 0.500) and I at (0.500, 0.500, 0.500).

---

3.
The following is a PBE-GGA calculation of crystalline AcPm2Rh at its relaxed geometry, from Alexandria via LeMat-Bulk.

The density is 9374 kg/m3. As for the calculated formation energy: 0.38 eV/f.u.

The space group is Fm-3m (No. 225) and the conventional cell measures 7.602, 7.602 and 7.602 Å, with angles of 90.00, 90.00 and 90.00 degrees. The asymmetric unit holds Ac at (0.000, 0.000, 0.000), Pm at (0.250, 0.250, 0.250) and Rh at (0.000, 0.000, 0.500).

---

4.
The following is a PBE-GGA calculation of crystalline MnSb2Se at its relaxed geometry, from Alexandria via LeMat-Bulk.

The value obtained for the formation energy from raw total energies is 0.443 eV per atom. The density is 5550 kg/m3.

The space group is I-42d (No. 122) and the conventional cell measures 6.142, 6.142 and 11.974 Å, with angles of 90.00, 90.00 and 90.00 degrees. The asymmetric unit holds Mn at (0.000, 0.000, 0.000), Sb at (0.190, 0.250, 0.125) and Se at (0.000, 0.000, 0.500).

---

5.
The following is a PBE-GGA calculation of crystalline HoTmPa2As4 at its relaxed geometry, from Alexandria via LeMat-Bulk.

The density is 9457 kg/m3. As for the calculated formation energy: -10.13 eV/f.u.

The space group is P2/m (No. 10) and the conventional cell measures 7.063, 4.085 and 7.074 Å, with angles of 90.00, 109.50 and 90.00 degrees. The asymmetric unit holds Ho at (0.000, 0.000, 0.000), Tm at (0.000, 0.500, 0.500), Pa at (0.500, 0.000, 0.500), Pa at (0.500, 0.500, 0.000), As at (0.248, 0.000, 0.748) and As at (0.249, 0.500, 0.251).

---

6.
The following is a PBE-GGA calculation of crystalline RhIBr2 at its relaxed geometry, from Alexandria via LeMat-Bulk.

The value obtained for the formation energy from raw total energies is -0.308 eV per atom. The density is 5760 kg/m3.

The space group is Pna2_1 (No. 33) and the conventional cell measures 6.627, 10.958 and 6.186 Å, with angles of 90.00, 90.00 and 90.00 degrees. The asymmetric unit holds Rh at (0.001, 0.159, 0.000), I at (0.167, 0.667, 0.266), Br at (0.169, 0.000, 0.260) and Br at (0.177, 0.322, 0.220).